Record 1
First-principles (PBE) data for crystalline Sm2PaSe2N2 at its relaxed geometry, as listed in Alexandria.

Values from the calculation:
**Uncorrected formation energy**: -1.529 eV/atom
**Total magnetic moment**: 0.0 Bohr magnetons per cell

Unit cell a=4.3673 b=4.3673 c=15.4392 alpha=90.00 beta=90.00 gamma=90.00
With the nearest neighbours (Å) after each atom.
Space group I4/mmm (No. 139)
Inequivalent atoms, fractional coordinates:
Sm: 0.0000 0.0000 0.1217 (multiplicity 4)  4 N 2.88, 1 Se 2.99
Pa: 0.0000 0.0000 0.5000 (multiplicity 2)  4 N 2.18
Se: 0.0000 0.0000 0.3151 (multiplicity 4)  1 Pa 2.85, 1 Sm 2.99
N: 0.0000 0.5000 0.0000 (multiplicity 4)  2 Pa 2.18


Record 2
First-principles (PBE) data for crystalline BaScCd2Au at its relaxed geometry, as listed in Alexandria.

Values from the calculation:
**Energy relative to the elements**: 0.21 eV per atom
**Total magnetic moment**: 0.8 Bohr magnetons per cell

Unit cell a=5.3646 b=5.3646 c=5.9323 alpha=90.00 beta=90.00 gamma=90.00
With the nearest neighbours (Å) after each atom.
Space group P4/mmm (No. 123)
Inequivalent atoms, fractional coordinates:
Ba: 0.0000 0.0000 0.0000 (multiplicity 1)  2 Au 2.97
Sc: 0.5000 0.5000 0.0000 (multiplicity 1)  4 Ba 3.79, 8 Cd 4.00
Cd: 0.0000 0.5000 0.5000 (multiplicity 2)  2 Au 2.68
Au: 0.0000 0.0000 0.5000 (multiplicity 1)  4 Cd 2.68, 2 Ba 2.97